A relaxed structure of Er2Sc3Rh2. Source: the Alexandria database, functional GGA-PBE.

Cell: 3.4535 6.2218 8.2042 Å, 79.75 77.90 73.89°
Space group P-1 (No. 2)
One atom of each set of equivalent atoms:
Er 0.0979 0.2024 0.1028 (multiplicity 2)
Sc 0.2954 0.6448 0.2648 (multiplicity 2)
Sc 0.5000 0.0000 0.5000 (multiplicity 1)
Rh 0.1256 0.6579 0.5904 (multiplicity 2)

Properties
DOS(E_F): 7.35 states/eV per cell
distance to the lowest polymorph of the same formula: 4.475 kcal/mol of atoms
uncorrected energy: -6.530 eV per atom
energy relative to the elements: -2.88 eV per formula unit
magnetization: 0.0 μB/f.u.

=====

A relaxed structure of ErSc2Rh2. Source: the Alexandria database, functional GGA-PBE.

Cell: 3.4158 4.7382 12.0856 Å, 90.00 98.12 90.00°
Space group P2_1/m (No. 11)
One atom of each set of equivalent atoms:
Er 0.1403 0.2500 0.2799 (multiplicity 2)
Sc 0.0452 0.7500 0.0906 (multiplicity 2)
Sc 0.2310 0.7500 0.4629 (multiplicity 2)
Rh 0.3581 0.2500 0.7163 (multiplicity 2)
Rh 0.4556 0.7500 0.9115 (multiplicity 2)

Properties
DOS(E_F): 6.25 states/eV per cell
uncorrected energy: -7.163 eV per atom
energy relative to the elements: -3.89 eV per formula unit
magnetization: 0.0 μB/f.u.

=====

A relaxed structure of ErSc4Rh2. Source: the Alexandria database, functional GGA-PBE.

Cell: 7.4178 5.8683 7.5581 Å, 90.00 112.59 90.00°
Space group P2_1/m (No. 11)
One atom of each set of equivalent atoms:
Er 0.0180 0.2500 0.1590 (multiplicity 2)
Sc 0.2408 0.5008 0.5904 (multiplicity 4)
Sc 0.3434 0.7500 0.2542 (multiplicity 2)
Sc 0.3890 0.2500 0.0143 (multiplicity 2)
Rh 0.0111 0.2500 0.7396 (multiplicity 2)
Rh 0.4202 0.2500 0.3733 (multiplicity 2)

Properties
DOS(E_F): 16.79 states/eV per cell
uncorrected energy: -6.916 eV per atom
energy relative to the elements: -3.82 eV per formula unit
magnetization: 0.0 μB/f.u.

=====

A relaxed structure of ErScRh. Source: the Alexandria database, functional GGA-PBE.

Cell: 6.5655 6.5655 6.5655 Å, 90.00 90.00 90.00°
Space group F-43m (No. 216)
One atom of each set of equivalent atoms:
Er 0.0000 0.0000 0.0000 (multiplicity 4)
Sc 0.0000 0.0000 0.5000 (multiplicity 4)
Rh 0.2500 0.2500 0.2500 (multiplicity 4)

Properties
DOS(E_F): 12.74 states/eV per cell
distance to the lowest polymorph of the same formula: 2.421 kcal/mol of atoms
uncorrected energy: -6.679 eV per atom
energy relative to the elements: -1.79 eV per formula unit
magnetization: 0.0 μB/f.u.